First-principles (GGA-PBE) data for a relaxed Li2AlRe crystal, as listed in Alexandria via LeMat-Bulk.

Output
calculated formation energy = 115 meV/atom
Fermi-level density of states = 0.439 states/eV per atom

Cell: 3.0434 4.2419 9.2624 Å, 90.00 90.00 90.00°
With the nearest neighbours (Å) after each atom.
Space group Cmmm (No. 65)
Symmetry-distinct sites (fractional):
Li (0.0000, 0.0000, 0.2428) x4  4 Li 2.61, 2 Re 2.72, 2 Al 2.83
Al (0.0000, 0.5000, 0.5000) x2  4 Al 2.61, 4 Li 2.83
Re (0.0000, 0.5000, 0.0000) x2  4 Re 2.61, 4 Li 2.72